VASP calculation (PBE) on Li2PbCl4 after structural relaxation.

Output
The uncorrected formation energy is -1.46 eV per atom. Its excess energy over the best structure of this formula in the dataset is 41.2 meV/atom. Its space group is P-42m, No. 111. The calculation puts the calculated volume at 203.4 Å³/cell. For the uncorrected energy, the calculation gives -3.594 eV per atom.

The structure in POSCAR format:
```
Li2PbCl4
1.0
5.6128 0.0000 0.0000
0.0000 5.6128 0.0000
0.0000 0.0000 6.4571
Li Pb Cl
2 1 4
Direct
0.0000 0.5000 0.0000
0.5000 0.0000 0.0000
0.0000 0.0000 0.5000
0.2621 0.2621 0.7886
0.2621 0.7379 0.2114
0.7379 0.2621 0.2114
0.7379 0.7379 0.7886
```

***

VASP calculation (PBE) on SrP2W after structural relaxation.

Output
The formation energy is -0.05 eV/atom. Its excess energy over the best structure of this formula in the dataset is 432.9 meV/atom. Its space group is P4mm, No. 99. The calculation puts the calculated volume at 89.3 Å³/cell. For the uncorrected energy, the calculation gives -6.409 eV per atom.

The structure in POSCAR format:
```
SrP2W
1.0
3.4716 0.0000 0.0000
0.0000 3.4716 0.0000
0.0000 0.0000 7.4088
Sr P W
1 2 1
Direct
0.0000 0.0000 0.0000
0.0000 0.0000 0.4036
0.5000 0.5000 0.7760
0.5000 0.5000 0.4695
```

***

VASP calculation (PBE) on Mg7TlPb4 after structural relaxation.

Output
The formation energy is 0.05 eV/atom. Its excess energy over the best structure of this formula in the dataset is 62.4 meV/atom. Its space group is C2/m, No. 12. The calculation puts the calculated volume at 326.5 Å³/cell. For the uncorrected energy, the calculation gives -2.318 eV per atom.

The structure in POSCAR format:
```
Mg7TlPb4
1.0
6.0244 -2.8368 0.0000
6.0244 2.8368 0.0000
-5.9620 0.0000 9.5524
Mg Tl Pb
7 1 4
Direct
0.0000 0.0000 0.0000
0.1681 0.1681 0.6257
0.2141 0.2141 0.9189
0.3858 0.3858 0.5457
0.6142 0.6142 0.4543
0.7859 0.7859 0.0811
0.8319 0.8319 0.3743
0.5000 0.5000 0.0000
0.0803 0.0803 0.3112
0.3182 0.3182 0.2318
0.6818 0.6818 0.7682
0.9197 0.9197 0.6888
```

***

VASP calculation (PBE) on SrMgGe2Pt5 after structural relaxation.

Output
The formation energy is -0.44 eV/atom. Its space group is P4/mmm, No. 123. The calculation puts the calculated volume at 191.2 Å³/cell. For the uncorrected energy, the calculation gives -5.184 eV per atom.

The structure in POSCAR format:
```
SrMgGe2Pt5
1.0
4.7236 0.0000 0.0000
0.0000 4.7236 0.0000
0.0000 0.0000 8.5682
Sr Mg Ge Pt
1 1 2 5
Direct
0.0000 0.0000 0.0000
0.0000 0.0000 0.5000
0.5000 0.5000 0.2793
0.5000 0.5000 0.7207
0.0000 0.5000 0.3379
0.0000 0.5000 0.6621
0.5000 0.0000 0.3379
0.5000 0.0000 0.6621
0.5000 0.5000 0.0000
```

***

VASP calculation (PBE) on ZrTiCdCu after structural relaxation.

Output
The formation energy is -0.04 eV/atom. Its space group is P4mm, No. 99. The calculation puts the calculated volume at 72.9 Å³/cell. For the uncorrected energy, the calculation gives -5.404 eV per atom.

The structure in POSCAR format:
```
ZrTiCdCu
1.0
3.0645 0.0000 0.0000
0.0000 3.0645 0.0000
0.0000 0.0000 7.7584
Zr Ti Cd Cu
1 1 1 1
Direct
0.0000 0.0000 0.0000
0.0000 0.0000 0.5609
0.5000 0.5000 0.2942
0.5000 0.5000 0.7580
```

***

VASP calculation (PBE) on SrNiH2 after structural relaxation.

Output
Its excess energy over the best structure of this formula in the dataset is 512.6 meV/atom. Its space group is Fm-3m, No. 225. The calculation puts the calculated volume at 213.4 Å³/cell. For the uncorrected energy, the calculation gives -3.279 eV per atom.

The structure in POSCAR format:
```
SrNiH2
1.0
5.9761 0.0000 0.0000
0.0000 5.9761 0.0000
0.0000 0.0000 5.9761
Sr Ni H
4 4 8
Direct
0.0000 0.0000 0.0000
0.0000 0.5000 0.5000
0.5000 0.0000 0.5000
0.5000 0.5000 0.0000
0.0000 0.0000 0.5000
0.0000 0.5000 0.0000
0.5000 0.0000 0.0000
0.5000 0.5000 0.5000
0.2500 0.2500 0.2500
0.2500 0.2500 0.7500
0.2500 0.7500 0.2500
0.2500 0.7500 0.7500
0.7500 0.2500 0.2500
0.7500 0.2500 0.7500
0.7500 0.7500 0.2500
0.7500 0.7500 0.7500
```